A plane-wave DFT calculation with PBE was carried out for an optimized crystal structure of Zr2ScNbC.

Summary:
E in Ha/atom: -0.3218
Size of the total moment in μB/atom: 0.000
DOS at the Fermi energy in states/eV/atom: 0.930

Unit cell a=4.6620 b=4.6620 c=4.3652 alpha=90.00 beta=90.00 gamma=90.00
Space group P4/mmm (No. 123)
One atom of each set of equivalent atoms:
Zr: 0.0000 0.5000 0.0000 x2
Sc: 0.0000 0.0000 0.5000 x1
Nb: 0.5000 0.5000 0.5000 x1
C: 0.5000 0.5000 0.0000 x1